A plane-wave DFT calculation with GGA-PBE was carried out for Ga9Ni4Pt11 after structural relaxation.

Cell lengths 11.1711, 11.1711, 2.8488 Å; angles 90.00, 90.00, 99.07 degrees
With the nearest neighbours (Å) after each atom.
Atoms (fractional coordinates):
Pt: 0.3995 0.0603 0.0000  6 Ga 2.59-2.83, 2 Ni 2.78, 4 Pt 2.79-2.88
Pt: 0.0000 0.0000 0.0000  8 Ga 2.67, 2 Pt 2.85
Pt: 0.1936 0.8064 0.0000  8 Ga 2.72-2.74, 3 Pt 2.85-2.99
Pt: 0.0603 0.3995 0.0000  6 Ga 2.59-2.83, 2 Ni 2.78, 4 Pt 2.79-2.88
Pt: 0.9397 0.6005 0.0000  6 Ga 2.59-2.83, 2 Ni 2.78, 4 Pt 2.79-2.88
Pt: 0.6304 0.3696 0.0000  6 Ga 2.63-2.74, 4 Ni 2.74, 2 Pt 2.85
Pt: 0.2239 0.2239 0.0000  4 Ni 2.67, 4 Ga 2.69, 4 Pt 2.85-2.88
Pt: 0.6005 0.9397 0.0000  6 Ga 2.59-2.83, 2 Ni 2.78, 4 Pt 2.79-2.88
Pt: 0.7761 0.7761 0.0000  4 Ni 2.67, 4 Ga 2.69, 4 Pt 2.85-2.88
Pt: 0.3696 0.6304 0.0000  6 Ga 2.63-2.74, 4 Ni 2.74, 2 Pt 2.85
Pt: 0.8064 0.1936 0.0000  8 Ga 2.72-2.74, 3 Pt 2.85-2.99
Ni: 0.4272 0.2769 0.5000  2 Ga 2.48-2.50, 1 Ni 2.56, 4 Pt 2.67-2.74
Ni: 0.2769 0.4272 0.5000  2 Ga 2.48-2.50, 1 Ni 2.56, 4 Pt 2.67-2.74
Ni: 0.7231 0.5728 0.5000  2 Ga 2.48-2.50, 1 Ni 2.56, 4 Pt 2.67-2.74
Ni: 0.5728 0.7231 0.5000  2 Ga 2.48-2.50, 1 Ni 2.56, 4 Pt 2.67-2.74
Ga: 0.0178 0.2038 0.5000  8 Pt 2.59-2.74, 2 Ga 2.85
Ga: 0.7962 0.9822 0.5000  8 Pt 2.59-2.74, 2 Ga 2.85
Ga: 0.2038 0.0178 0.5000  8 Pt 2.59-2.74, 2 Ga 2.85
Ga: 0.5000 0.5000 0.5000  4 Ni 2.50, 4 Pt 2.63
Ga: 0.8423 0.4032 0.5000  1 Ni 2.48, 6 Pt 2.70-2.74
Ga: 0.9822 0.7962 0.5000  8 Pt 2.59-2.74, 2 Ga 2.85
Ga: 0.1577 0.5968 0.5000  1 Ni 2.48, 6 Pt 2.70-2.74
Ga: 0.4032 0.8423 0.5000  1 Ni 2.48, 6 Pt 2.70-2.74
Ga: 0.5968 0.1577 0.5000  1 Ni 2.48, 6 Pt 2.70-2.74

As for the energy of formation: -0.432 eV/atom. The volume comes out at 14.628 A^3/atom. Its space-group type is No. 65. The total moment is 0.0 Bohr magnetons per cell.